No. 1
VASP calculation (PBE) on crystalline ZrReAsO at its relaxed geometry.

Lattice parameters (Å, degrees): 5.4300 4.2026 5.6622 90.00 90.00 90.00
With the nearest neighbours (Å) after each atom.
Space group Pmma (No. 51)
Asymmetric unit:
Zr  0.2500  0.0000  0.2170  2 O 2.10
Re  0.0000  0.5000  0.5000  2 O 2.16
As  0.2500  0.0000  0.7180  4 Zr 2.74-2.84, 4 Re 2.79
O  0.2500  0.5000  0.2027  2 Zr 2.10, 2 Re 2.16

Summary:
electronic total energy: -0.6331 Ry/atom
V: 129 Å³ per cell

No. 2
VASP calculation (PBE) on crystalline Dy3Ho2ErBi2Os at its relaxed geometry.

Lattice parameters (Å, degrees): 4.2362 14.3253 8.2706 90.00 90.00 90.00
With the nearest neighbours (Å) after each atom.
Space group Amm2 (No. 38)
Asymmetric unit:
Dy  0.0000  0.0000  0.0000  1 Os 3.21, 4 Bi 3.32, 4 Ho 3.50
Dy  0.0000  0.1934  0.4192  1 Os 3.20, 4 Bi 3.32-3.33, 2 Er 3.50, 2 Ho 3.50
Ho  0.5000  0.1165  0.7293  2 Os 2.87
Er  0.5000  0.0000  0.3801  2 Os 2.86
Bi  0.5000  0.1664  0.1131  1 Er 3.25, 2 Ho 3.25, 6 Dy 3.32-3.33
Os  0.0000  0.0000  0.6118  2 Er 2.86, 4 Ho 2.87, 2 Dy 3.20

Summary:
electronic total energy: -0.4235 Ry/atom
V: 502 Å³ per cell

No. 3
VASP calculation (PBE) on crystalline ZrPaIn at its relaxed geometry.

Lattice parameters (Å, degrees): 7.1821 7.1821 7.1821 90.00 90.00 90.00
With the nearest neighbours (Å) after each atom.
Space group F-43m (No. 216)
Asymmetric unit:
Zr  0.0000  0.0000  0.0000  4 Pa 3.11
Pa  0.2500  0.2500  0.7500  4 In 3.11, 4 Zr 3.11
In  0.0000  0.0000  0.5000  4 Pa 3.11

Summary:
electronic total energy: -0.4380 Ry/atom
V: 370 Å³ per cell

No. 4
VASP calculation (PBE) on crystalline SmCoAg at its relaxed geometry.

Lattice parameters (Å, degrees): 6.5758 6.5758 6.5758 90.00 90.00 90.00
With the nearest neighbours (Å) after each atom.
Space group F-43m (No. 216)
Asymmetric unit:
Sm  0.0000  0.0000  0.0000  4 Co 2.85, 4 Ag 2.85
Co  0.2500  0.2500  0.2500  4 Sm 2.85
Ag  0.2500  0.2500  0.7500  4 Sm 2.85

Summary:
electronic total energy: -0.3075 Ry/atom
formation energy from the elements: 2.09 eV/f.u.
V: 284 Å³ per cell

No. 5
VASP calculation (PBE) on crystalline ErTm2Cu4Si2Ge2 at its relaxed geometry.

Lattice parameters (Å, degrees): 4.1005 6.5821 13.6992 90.00 90.00 90.00
With the nearest neighbours (Å) after each atom.
Space group Immm (No. 71)
Asymmetric unit:
Er  0.0000  0.0000  0.0000  4 Ge 2.88, 2 Si 2.97
Tm  0.0000  0.5000  0.1294  2 Si 2.94, 6 Cu 2.95-2.97, 4 Ge 2.99
Cu  0.0000  0.3087  0.3256  3 Si 2.48-2.52, 1 Ge 2.51, 1 Cu 2.52
Si  0.0000  0.0000  0.2168  6 Cu 2.48-2.52
Ge  0.0000  0.1931  0.5000  2 Cu 2.51, 1 Ge 2.54

Summary:
electronic total energy: -0.3707 Ry/atom
V: 370 Å³ per cell

No. 6
VASP calculation (PBE) on crystalline Tb2GdTlZn3In2 at its relaxed geometry.

Lattice parameters (Å, degrees): 4.5832 12.6440 7.2867 90.00 90.00 90.00
With the nearest neighbours (Å) after each atom.
Space group Amm2 (No. 38)
Asymmetric unit:
Tb  0.0000  0.2176  0.0000  4 In 3.14-3.15, 1 Tl 3.17, 2 Zn 3.25
Gd  0.0000  0.0000  0.3473  4 In 3.15, 1 Tl 3.18, 2 Zn 3.25
Tl  0.0000  0.0000  0.7835  6 Zn 2.92, 2 Tb 3.17, 1 Gd 3.18
Zn  0.5000  0.0000  0.0309  2 In 2.80, 2 Tl 2.92
Zn  0.5000  0.1241  0.6585  2 In 2.79, 2 Tl 2.92
In  0.5000  0.1671  0.2825  3 Zn 2.79-2.80

Summary:
electronic total energy: -0.2348 Ry/atom
V: 422 Å³ per cell

No. 7
VASP calculation (PBE) on crystalline LuCdPt at its relaxed geometry.

Lattice parameters (Å, degrees): 6.6360 6.6360 6.6360 90.00 90.00 90.00
With the nearest neighbours (Å) after each atom.
Space group F-43m (No. 216)
Asymmetric unit:
Lu  0.0000  0.0000  0.0000  4 Cd 2.87, 4 Pt 2.87
Cd  0.2500  0.2500  0.7500  4 Lu 2.87
Pt  0.2500  0.2500  0.2500  4 Lu 2.87

Summary:
electronic total energy: -0.3047 Ry/atom
formation energy from the elements: -0.96 eV/f.u.
V: 292 Å³ per cell

No. 8
VASP calculation (PBE) on crystalline MgCoCu4Sn2 at its relaxed geometry.

Lattice parameters (Å, degrees): 4.3879 4.3879 6.2302 90.00 90.00 90.00
With the nearest neighbours (Å) after each atom.
Space group P4/mmm (No. 123)
Asymmetric unit:
Mg  0.0000  0.0000  0.0000  8 Cu 2.73
Co  0.5000  0.5000  0.5000  8 Cu 2.65
Cu  0.0000  0.5000  0.2600  4 Sn 2.65-2.73, 2 Co 2.65, 2 Mg 2.73
Sn  0.0000  0.0000  0.5000  8 Cu 2.65
Sn  0.5000  0.5000  0.0000  8 Cu 2.73

Summary:
electronic total energy: -0.2834 Ry/atom
V: 120 Å³ per cell

No. 9
VASP calculation (PBE) on crystalline TbTaNb at its relaxed geometry.

Lattice parameters (Å, degrees): 6.6218 6.6218 6.6218 90.00 90.00 90.00
With the nearest neighbours (Å) after each atom.
Space group F-43m (No. 216)
Asymmetric unit:
Tb  0.0000  0.0000  0.0000  4 Nb 2.87
Ta  0.0000  0.0000  0.5000  4 Nb 2.87
Nb  0.2500  0.2500  0.7500  4 Tb 2.87, 4 Ta 2.87

Summary:
electronic total energy: -0.5858 Ry/atom
formation energy from the elements: 2.66 eV/f.u.
V: 290 Å³ per cell

No. 10
VASP calculation (PBE) on crystalline Ba2ZnH6O6 at its relaxed geometry.

Lattice parameters (Å, degrees): 6.0482 6.8673 9.3709 90.00 117.32 90.00
With the nearest neighbours (Å) after each atom.
Space group P2_1/c (No. 14)
Asymmetric unit:
Ba  0.1380  0.1535  0.2016  5 O 2.59-2.72
Zn  0.5000  0.0000  0.0000  2 O 1.81
H  0.2812  0.6773  0.2224  1 O 1.00
H  0.2878  0.6058  0.0571  1 O 1.02
H  0.4833  0.6682  0.9333  1 O 0.98
O  0.2110  0.1246  0.9506  1 Zn 1.81
O  0.2991  0.5618  0.1641  2 H 1.00-1.02
O  0.3017  0.6691  0.8903  1 H 0.98

Summary:
electronic total energy: -0.3807 Ry/atom
V: 346 Å³ per cell

No. 11
VASP calculation (PBE) on crystalline Zr2Nb at its relaxed geometry.

Lattice parameters (Å, degrees): 2.9599 5.1422 17.1543 90.00 90.00 90.00
With the nearest neighbours (Å) after each atom.
Space group Pmmn (No. 59, origin choice 2)
Asymmetric unit:
Zr  0.2500  0.2500  0.0368  4 Nb 2.94-3.06, 7 Zr 2.96-3.22
Zr  0.2500  0.2500  0.2136  7 Zr 2.96-3.20, 2 Nb 3.04
Zr  0.2500  0.7500  0.3011  8 Zr 2.96-3.25, 3 Nb 3.12-3.13
Zr  0.2500  0.7500  0.6213  4 Nb 2.94-3.11, 8 Zr 2.96-3.25
Nb  0.2500  0.2500  0.5378  6 Zr 2.94-3.13, 6 Nb 2.96-3.24
Nb  0.2500  0.7500  0.1195  7 Zr 2.94-3.12, 2 Nb 2.96

Summary:
electronic total energy: -0.6476 Ry/atom
formation energy from the elements: 0.75 eV/f.u.
V: 261 Å³ per cell

No. 12
VASP calculation (PBE) on crystalline Li2TcO4 at its relaxed geometry.

Lattice parameters (Å, degrees): 7.0885 7.0885 6.8167 90.00 90.00 90.00
With the nearest neighbours (Å) after each atom.
Space group I-42d (No. 122)
Asymmetric unit:
Li  0.1357  0.2500  0.1250  4 O 1.94-1.96
Tc  0.0000  0.0000  0.5000  4 O 1.79
O  0.0237  0.7066  0.8981  1 Tc 1.79, 2 Li 1.94-1.96

Summary:
electronic total energy: -0.4818 Ry/atom
V: 343 Å³ per cell

No. 13
VASP calculation (PBE) on crystalline Y3ZnCN at its relaxed geometry.

Lattice parameters (Å, degrees): 3.5462 3.5462 20.8146 90.00 90.00 120.00
With the nearest neighbours (Å) after each atom.
Space group P-3m1 (No. 164)
Asymmetric unit:
Y  0.0000  0.0000  0.0000  6 N 2.51
Y  0.0000  0.0000  0.5000  6 C 2.59
Y  0.3333  0.6667  0.1307  3 N 2.41
Y  0.3333  0.6667  0.3653  3 C 2.38
Zn  0.0000  0.0000  0.2422  6 Y 3.09-3.28
C  0.3333  0.6667  0.5765  6 Y 2.38-2.59
N  0.3333  0.6667  0.9304  6 Y 2.41-2.51

Summary:
electronic total energy: -0.5168 Ry/atom
V: 227 Å³ per cell

No. 14
VASP calculation (PBE) on crystalline Te2Pd2Pb at its relaxed geometry.

Lattice parameters (Å, degrees): 4.4580 4.4580 12.4100 90.00 90.00 90.00
With the nearest neighbours (Å) after each atom.
Space group I4/mmm (No. 139)
Asymmetric unit:
Te  0.0000  0.0000  0.1282  4 Pd 2.69
Pd  0.0000  0.5000  0.2500  4 Te 2.69
Pb  0.0000  0.0000  0.5000  8 Te 3.53, 8 Pd 3.82

Summary:
electronic total energy: -0.3133 Ry/atom
V: 247 Å³ per cell

No. 15
VASP calculation (PBE) on crystalline B4MoPd at its relaxed geometry.

Lattice parameters (Å, degrees): 3.0065 3.0065 7.0551 90.00 90.00 120.00
With the nearest neighbours (Å) after each atom.
Space group P6/mmm (No. 191)
Asymmetric unit:
B  0.3333  0.6667  0.2353  3 B 1.74
Mo  0.0000  0.0000  0.0000  12 B 2.40
Pd  0.0000  0.0000  0.5000  12 B 2.55

Summary:
electronic total energy: -0.5267 Ry/atom
V: 55 Å³ per cell

No. 16
VASP calculation (PBE) on crystalline Li4Sm2Os at its relaxed geometry.

Lattice parameters (Å, degrees): 4.1523 4.1523 7.9028 90.00 90.00 90.00
With the nearest neighbours (Å) after each atom.
Space group P4/mmm (No. 123)
Asymmetric unit:
Li  0.0000  0.5000  0.2378  2 Os 2.80, 4 Sm 2.80-2.93, 4 Li 2.94
Sm  0.0000  0.0000  0.0000  8 Li 2.80, 4 Os 2.94
Sm  0.5000  0.5000  0.5000  8 Li 2.93
Os  0.5000  0.5000  0.0000  8 Li 2.80, 4 Sm 2.94

Summary:
electronic total energy: -0.2704 Ry/atom
V: 136 Å³ per cell

No. 17
VASP calculation (PBE) on crystalline LiGaAu2 at its relaxed geometry.

Lattice parameters (Å, degrees): 7.4850 7.3934 5.3193 90.00 90.00 90.00
With the nearest neighbours (Å) after each atom.
Space group Pnma (No. 62)
Asymmetric unit:
Li  0.0372  0.2500  0.1373  3 Ga 2.81-2.97, 4 Au 3.01-3.08
Ga  0.1142  0.7500  0.3794  6 Au 2.57-2.67, 1 Li 2.81
Au  0.1851  0.0549  0.5879  3 Ga 2.57-2.67

Summary:
electronic total energy: -0.2375 Ry/atom
V: 294 Å³ per cell

No. 18
VASP calculation (PBE) on crystalline Cs2Tm4Cu4Se9 at its relaxed geometry.

Lattice parameters (Å, degrees): 14.6332 4.1121 16.6086 90.00 108.68 90.00
With the nearest neighbours (Å) after each atom.
Space group C2/m (No. 12)
Asymmetric unit:
Cs  0.0314  0.0000  0.2722  7 Se 3.45-3.64, 2 Cu 3.83
Tm  0.1532  0.5000  0.5555  6 Se 2.79-2.96
Tm  0.2302  0.0000  0.1022  6 Se 2.81-2.91
Cu  0.0717  0.5000  0.9656  4 Se 2.49-2.57, 1 Cu 2.69
Cu  0.2495  0.0000  0.7317  4 Se 2.43-2.63
Se  0.0000  0.0000  0.5000  4 Tm 2.96
Se  0.1074  0.5000  0.1240  3 Cu 2.51-2.63
Se  0.1424  0.0000  0.9251  2 Cu 2.49
Se  0.1584  0.5000  0.7248  2 Cu 2.43
Se  0.2092  0.5000  0.4036  1 Cu 2.51, 2 Tm 2.80

Summary:
electronic total energy: -0.3475 Ry/atom
V: 947 Å³ per cell

No. 19
VASP calculation (PBE) on crystalline Hf2FeNi at its relaxed geometry.

Lattice parameters (Å, degrees): 6.2772 6.2772 6.2772 90.00 90.00 90.00
With the nearest neighbours (Å) after each atom.
Space group F-43m (No. 216)
Asymmetric unit:
Hf  0.0000  0.0000  0.0000  4 Hf 2.72, 4 Ni 2.72
Hf  0.2500  0.2500  0.2500  4 Hf 2.72, 4 Fe 2.72
Fe  0.0000  0.0000  0.5000  4 Hf 2.72, 4 Ni 2.72
Ni  0.2500  0.2500  0.7500  4 Hf 2.72, 4 Fe 2.72

Summary:
electronic total energy: -0.6168 Ry/atom
formation energy from the elements: 0.22 eV/f.u.
V: 247 Å³ per cell

No. 20
VASP calculation (PBE) on crystalline NaSbOs at its relaxed geometry.

Lattice parameters (Å, degrees): 6.2875 6.2875 6.2875 90.00 90.00 90.00
With the nearest neighbours (Å) after each atom.
Space group F-43m (No. 216)
Asymmetric unit:
Na  0.0000  0.0000  0.0000  4 Os 2.72, 4 Sb 2.72
Sb  0.2500  0.2500  0.2500  4 Na 2.72
Os  0.2500  0.2500  0.7500  4 Na 2.72

Summary:
electronic total energy: -0.3008 Ry/atom
V: 249 Å³ per cell